(1)
Computed, not measured: KVCl4 after structural relaxation at the PBE level of DFT.

Values from the calculation:
* total energy: -4.39 eV per atom
* magnetization: 4.00 Bohr magnetons per cell
* energy above the most stable polymorph in this dataset: 0 meV per atom

extended XYZ file:
```
12
Lattice="-2.014 7.816 -1.535 -0.263 -2.792 7.722 5.626 4.437 4.020" Properties=species:S:1:pos:R:3 pbc="T T T"
Cl 4.455 4.345 8.776
K -0.520 6.204 4.489
Cl 1.755 5.539 6.812
K 3.869 3.258 5.719
Cl 3.396 7.875 9.178
Cl 1.578 8.112 2.764
V 0.618 3.691 1.395
Cl -1.107 5.116 1.432
Cl 1.771 1.349 7.444
V 2.730 5.770 8.813
Cl -0.047 1.586 1.030
Cl 1.593 3.922 3.396
```

(2)
Computed, not measured: Pm2Ni5Sn3 after structural relaxation at the PBE level of DFT.

Values from the calculation:
* DFT formation energy: -0.404 eV/atom
* total energy: -5.45 eV per atom
* magnetization: 0.00 Bohr magnetons per cell

extended XYZ file:
```
20
Lattice="6.135 0.000 0.000 3.067 7.902 0.068 3.067 1.286 7.797" Properties=species:S:1:pos:R:3 pbc="T T T"
Ni 4.601 2.047 1.753
Pm 3.067 5.003 1.143
Sn 9.202 6.608 4.152
Ni 7.669 7.141 6.112
Pm 9.202 4.185 6.721
Sn 4.601 0.000 0.000
Ni 1.534 2.047 1.753
Sn 6.135 5.121 5.888
Ni 4.601 4.594 3.932
Sn 6.135 4.067 1.977
Ni 3.067 1.104 5.723
Ni 9.202 8.084 2.142
Sn 3.067 2.580 3.713
Ni 10.736 7.141 6.112
Pm 6.135 7.287 3.099
Sn 1.534 0.000 0.000
Ni 6.135 3.363 7.657
Pm 6.135 1.901 4.766
Ni 7.669 4.594 3.932
Ni 6.135 5.825 0.208
```

(3)
Computed, not measured: TcNiB after structural relaxation at the PBE level of DFT.

Values from the calculation:
* DFT formation energy: -0.211 eV/atom
* total energy: -7.82 eV per atom
* magnetization: 0.00 Bohr magnetons per cell
* energy above the most stable polymorph in this dataset: 87 meV per atom

extended XYZ file:
```
6
Lattice="-2.481 1.703 0.093 -0.943 -1.515 2.595 3.614 5.133 2.399" Properties=species:S:1:pos:R:3 pbc="T T T"
Tc -0.054 1.214 0.689
Ni 1.225 2.995 2.193
Tc 0.244 4.108 4.398
Ni -1.034 2.328 2.893
B 2.275 4.457 3.428
B -2.085 0.865 1.658
```

(4)
Computed, not measured: AcSm2Y after structural relaxation at the PBE level of DFT.

Values from the calculation:
* DFT formation energy: 0.118 eV/atom
* total energy: -4.89 eV per atom
* magnetization: 0.00 Bohr magnetons per cell
* energy above the most stable polymorph in this dataset: 83 meV per atom

extended XYZ file:
```
4
Lattice="5.834 -0.288 1.697 -0.340 5.687 2.132 1.661 1.326 5.404" Properties=species:S:1:pos:R:3 pbc="T T T"
Sm 5.122 1.870 4.507
Y 2.747 2.699 1.915
Sm -0.339 5.686 2.133
Ac 2.033 4.856 4.725
```

(5)
Computed, not measured: Tb4Pr2Dy3 after structural relaxation at the PBE level of DFT.

Values from the calculation:
* DFT formation energy: 0.100 eV/atom
* total energy: -4.55 eV per atom
* magnetization: 0.00 Bohr magnetons per cell

extended XYZ file:
```
18
Lattice="-4.520 -1.894 3.635 -7.665 -6.740 -4.681 0.237 -10.812 3.025" Properties=species:S:1:pos:R:3 pbc="T T T"
Dy -8.249 -14.630 -1.467
Pr -3.885 -11.448 0.243
Dy -3.373 -2.873 -0.256
Dy -3.699 -4.816 3.447
Tb -1.481 -5.507 0.892
Tb -5.749 -5.419 0.751
Tb -10.467 -13.939 1.088
Tb -5.299 -12.996 5.329
Pr -8.063 -7.998 1.736
Tb -2.960 -10.462 4.269
Pr -3.773 -8.097 1.898
Tb -8.988 -8.984 -2.290
Dy -6.109 -10.709 2.869
Tb -6.650 -6.450 -3.350
Dy -5.839 -8.737 -0.890
Tb -6.199 -14.027 1.229
Pr -8.175 -11.348 0.081
Dy -8.575 -16.573 2.236
```

(6)
Computed, not measured: NaTlS2 after structural relaxation at the PBE level of DFT.

Values from the calculation:
* total energy: -3.43 eV per atom
* magnetization: 0.00 Bohr magnetons per cell

extended XYZ file:
```
4
Lattice="3.645 -2.104 0.000 0.000 4.209 0.000 0.000 0.000 7.030" Properties=species:S:1:pos:R:3 pbc="T T T"
S 2.430 0.000 1.913
S 1.215 2.104 5.545
Tl 1.215 2.104 3.147
Na 0.000 0.000 6.652
```

(7)
Computed, not measured: Ba2Ag2BiS4 after structural relaxation at the PBE level of DFT.

Values from the calculation:
* total energy: -4.22 eV per atom
* magnetization: 0.77 Bohr magnetons per cell

extended XYZ file:
```
9
Lattice="4.163 0.000 0.000 0.000 7.247 0.066 -2.081 -2.782 7.883" Properties=species:S:1:pos:R:3 pbc="T T T"
Bi 0.000 0.000 0.000
S 0.000 0.481 3.646
Ba 0.000 3.247 2.128
Ba 2.081 1.218 5.822
Ag 0.000 5.308 5.157
S 2.081 5.311 0.467
S 2.081 3.984 4.304
S 0.000 -0.846 7.482
Ag 2.081 -0.844 2.792
```

(8)
Computed, not measured: LiNpSeO5 after structural relaxation at the PBE level of DFT.

Values from the calculation:
* total energy: -7.26 eV per atom
* magnetization: 4.06 Bohr magnetons per cell

extended XYZ file:
```
16
Lattice="6.361 -0.925 -0.237 -2.741 5.814 -0.237 -1.781 -2.406 7.512" Properties=species:S:1:pos:R:3 pbc="T T T"
Np 0.000 0.000 0.000
O -2.562 4.751 1.641
O 2.127 0.862 0.284
O 2.542 0.935 6.245
O 2.526 1.401 2.998
O -0.687 1.083 4.040
Np -0.891 -1.203 3.756
Li -0.678 3.355 1.641
O 1.043 3.907 2.489
O -0.703 1.549 0.794
O 4.401 -2.267 5.397
O -0.288 1.622 6.754
Se 3.130 0.536 1.641
Li 2.517 -0.872 5.397
O 0.796 -1.424 4.550
Se -1.292 1.948 5.397
```

| no. | density (Mg/m³) |
| --- | --- |
| 1 | 1.8 |
| 2 | 8.3 |
| 3 | 9.0 |
| 4 | 7.1 |
| 5 | 8.0 |
| 6 | 4.5 |
| 7 | 5.8 |
| 8 | 5.3 |